A relaxed NaW3O9 crystal, computed with PBE with a Hubbard U.

Summary:
The total energy comes out at -7.2107 eV per atom. The value obtained for the volume is 13.586 Å³ per atom. The mass density comes out at 6.8 g cm⁻³. As for the excess energy over the best structure of this formula in the dataset: 0.193 eV/f.u.

Lattice parameters (Å, degrees): 5.502 5.502 6.737 90.00 90.00 120.00
Positions (direct):
Na (0.000, 0.000, 0.000)
W (0.000, 0.000, 0.500)
W (0.333, 0.667, 0.170)
W (0.667, 0.333, 0.830)
O (0.000, 0.500, 0.000)
O (0.165, 0.330, 0.330)
O (0.165, 0.835, 0.330)
O (0.330, 0.165, 0.670)
O (0.500, 0.000, 0.000)
O (0.500, 0.500, 0.000)
O (0.670, 0.835, 0.330)
O (0.835, 0.165, 0.670)
O (0.835, 0.670, 0.670)